1) {"formula": "NbOsO2", "functional": "GGA-PBE", "state": "relaxed", "n_ef_per_ev_cell": 3.0, "cell": [[1.685, 0.973, 5.357], [-1.685, 0.973, 5.357], [0.000, -1.946, 5.357]], "species": ["Nb", "Os", "O", "O"], "frac_coords": [[0.000, 0.000, 0.000], [0.500, 0.500, 0.500], [0.125, 0.125, 0.125], [0.875, 0.875, 0.875]]}

=====

2) {"formula": "NbOsO2", "functional": "GGA-PBE", "state": "relaxed", "n_ef_per_ev_cell": 7.9, "cell": [[-1.944, 1.944, 6.526], [1.944, -1.944, 6.526], [1.944, 1.944, -6.526]], "species": ["Nb", "Nb", "Os", "Os", "O", "O", "O", "O"], "frac_coords": [[0.000, 0.000, 0.000], [0.750, 0.250, 0.500], [0.250, 0.750, 0.500], [0.500, 0.500, 0.000], [0.126, 0.625, 0.001], [0.375, 0.376, 0.501], [0.624, 0.125, 0.999], [0.875, 0.874, 0.499]]}

=====

Taking the most stable structure as the zero point, the relative energies in meV per atom are 1) 325; 2) 0.

=====

1) {"formula": "NbPOsO2", "functional": "GGA-PBE", "state": "relaxed", "n_ef_per_ev_cell": 3.0, "cell": [[3.814, 0.000, 0.000], [0.000, 3.814, 0.000], [0.000, 0.000, 5.539]], "species": ["Nb", "P", "Os", "O", "O"], "frac_coords": [[0.000, 0.000, 0.000], [0.000, 0.000, 0.500], [0.500, 0.500, 0.500], [0.000, 0.500, 0.000], [0.500, 0.000, 0.000]]}

=====

2) {"formula": "NbPOsO2", "functional": "GGA-PBE", "state": "relaxed", "n_ef_per_ev_cell": 5.8, "cell": [[3.711, 0.000, 0.000], [0.000, 3.711, 0.000], [0.000, 0.000, 5.355]], "species": ["Nb", "P", "Os", "O", "O"], "frac_coords": [[0.000, 0.000, 0.000], [0.500, 0.500, 0.000], [0.500, 0.500, 0.500], [0.000, 0.500, 0.500], [0.500, 0.000, 0.500]]}

=====

Taking the most stable structure as the zero point, the relative energies in meV per atom are 1) 0; 2) 226.

=====

1) {"formula": "NbPO5", "functional": "GGA-PBE", "state": "relaxed", "n_ef_per_ev_cell": 5.1, "cell": [[8.709, 0.000, 0.000], [0.000, 5.292, 0.000], [-0.945, 0.000, 4.794]], "species": ["Nb", "Nb", "P", "P", "O", "O", "O", "O", "O", "O", "O", "O", "O", "O"], "frac_coords": [[0.000, 0.168, 0.250], [0.000, 0.832, 0.750], [0.500, 0.432, 0.750], [0.500, 0.568, 0.250], [0.000, 0.476, 0.750], [0.000, 0.524, 0.250], [0.149, 0.001, 0.552], [0.149, 0.999, 0.052], [0.382, 0.418, 0.411], [0.382, 0.582, 0.911], [0.618, 0.418, 0.089], [0.618, 0.582, 0.589], [0.851, 0.001, 0.948], [0.851, 0.999, 0.448]]}

=====

2) {"formula": "NbPO5", "functional": "GGA-PBE", "state": "relaxed", "n_ef_per_ev_cell": 0.0, "cell": [[13.330, 0.000, 0.000], [0.000, 5.431, 0.000], [-6.931, 0.000, 11.705]], "species": ["Nb", "Nb", "Nb", "Nb", "Nb", "Nb", "Nb", "Nb", "P", "P", "P", "P", "P", "P", "P", "P", "O", "O", "O", "O", "O", "O", "O", "O", "O", "O", "O", "O", "O", "O", "O", "O", "O", "O", "O", "O", "O", "O", "O", "O", "O", "O", "O", "O", "O", "O", "O", "O", "O", "O", "O", "O", "O", "O", "O", "O"], "frac_coords": [[0.063, 0.248, 0.197], [0.063, 0.252, 0.697], [0.437, 0.749, 0.134], [0.437, 0.751, 0.634], [0.563, 0.249, 0.366], [0.563, 0.251, 0.866], [0.937, 0.748, 0.303], [0.937, 0.752, 0.803], [0.154, 0.744, 0.091], [0.154, 0.756, 0.591], [0.346, 0.246, 0.937], [0.346, 0.254, 0.437], [0.654, 0.746, 0.563], [0.654, 0.754, 0.063], [0.846, 0.244, 0.409], [0.846, 0.256, 0.909], [0.003, 0.513, 0.246], [0.003, 0.987, 0.746], [0.081, 0.745, 0.459], [0.081, 0.755, 0.959], [0.125, 0.534, 0.642], [0.125, 0.966, 0.142], [0.131, 0.000, 0.633], [0.131, 0.500, 0.133], [0.216, 0.249, 0.343], [0.216, 0.251, 0.843], [0.284, 0.744, 0.627], [0.284, 0.756, 0.127], [0.372, 0.005, 0.003], [0.372, 0.030, 0.515], [0.372, 0.470, 0.015], [0.372, 0.495, 0.503], [0.419, 0.239, 0.378], [0.419, 0.261, 0.878], [0.499, 0.010, 0.245], [0.499, 0.490, 0.745], [0.501, 0.510, 0.255], [0.501, 0.990, 0.755], [0.581, 0.739, 0.122], [0.581, 0.761, 0.622], [0.628, 0.505, 0.497], [0.628, 0.530, 0.985], [0.628, 0.970, 0.485], [0.628, 0.995, 0.997], [0.716, 0.244, 0.873], [0.716, 0.256, 0.373], [0.784, 0.749, 0.157], [0.784, 0.751, 0.657], [0.869, 0.000, 0.367], [0.869, 0.500, 0.867], [0.875, 0.034, 0.858], [0.875, 0.466, 0.358], [0.919, 0.245, 0.041], [0.919, 0.255, 0.541], [0.997, 0.013, 0.254], [0.997, 0.487, 0.754]]}

=====

Taking the most stable structure as the zero point, the relative energies in meV per atom are 1) 868; 2) 0.

=====

1) {"formula": "RbNbPO2", "functional": "GGA-PBE", "state": "relaxed", "n_ef_per_ev_cell": 2.8, "cell": [[4.039, 0.000, 0.000], [0.000, 4.039, 0.000], [0.000, 0.000, 6.180]], "species": ["Rb", "Nb", "P", "O", "O"], "frac_coords": [[0.000, 0.000, 0.000], [0.500, 0.500, 0.500], [0.000, 0.000, 0.500], [0.000, 0.500, 0.000], [0.500, 0.000, 0.000]]}

=====

2) {"formula": "RbNbPO2", "functional": "GGA-PBE", "state": "relaxed", "n_ef_per_ev_cell": 3.4, "cell": [[4.138, 0.000, 0.000], [0.000, 4.138, 0.000], [0.000, 0.000, 5.083]], "species": ["Rb", "Nb", "P", "O", "O"], "frac_coords": [[0.000, 0.000, 0.000], [0.500, 0.500, 0.500], [0.500, 0.500, 0.000], [0.000, 0.500, 0.500], [0.500, 0.000, 0.500]]}

=====

Taking the most stable structure as the zero point, the relative energies in meV per atom are 1) 2498; 2) 0.

=====

1) {"formula": "RbNbP2O", "functional": "GGA-PBE", "state": "relaxed", "n_ef_per_ev_cell": 4.9, "cell": [[5.066, 0.000, 0.000], [0.000, 5.066, 0.000], [0.000, 0.000, 4.082]], "species": ["Rb", "Nb", "P", "P", "O"], "frac_coords": [[0.000, 0.000, 0.000], [0.500, 0.500, 0.500], [0.000, 0.500, 0.500], [0.500, 0.000, 0.500], [0.500, 0.500, 0.000]]}

=====

2) {"formula": "RbNbP2O", "functional": "GGA-PBE", "state": "relaxed", "n_ef_per_ev_cell": 4.6, "cell": [[5.103, 0.000, 0.000], [0.000, 5.103, 0.000], [0.000, 0.000, 4.090]], "species": ["Rb", "Nb", "P", "P", "O"], "frac_coords": [[0.000, 0.000, 0.000], [0.500, 0.500, 0.500], [0.000, 0.500, 0.000], [0.500, 0.000, 0.000], [0.000, 0.000, 0.500]]}

=====

Taking the most stable structure as the zero point, the relative energies in meV per atom are 1) 0; 2) 2326.

=====

1) {"formula": "NbReP2O", "functional": "GGA-PBE", "state": "relaxed", "n_ef_per_ev_cell": 5.2, "cell": [[4.780, 0.000, 0.000], [0.000, 4.780, 0.000], [0.000, 0.000, 3.657]], "species": ["Nb", "Re", "P", "P", "O"], "frac_coords": [[0.000, 0.000, 0.000], [0.500, 0.500, 0.500], [0.000, 0.500, 0.500], [0.500, 0.000, 0.500], [0.500, 0.500, 0.000]]}

=====

2) {"formula": "NbReP2O", "functional": "GGA-PBE", "state": "relaxed", "n_ef_per_ev_cell": 2.2, "cell": [[4.918, 0.000, 0.000], [0.000, 4.918, 0.000], [0.000, 0.000, 3.802]], "species": ["Nb", "Re", "P", "P", "O"], "frac_coords": [[0.000, 0.000, 0.000], [0.500, 0.500, 0.500], [0.000, 0.500, 0.000], [0.500, 0.000, 0.000], [0.000, 0.000, 0.500]]}

=====

Taking the most stable structure as the zero point, the relative energies in meV per atom are 1) 0; 2) 310.

=====

1) {"formula": "NbPRhO2", "functional": "GGA-PBE", "state": "relaxed", "n_ef_per_ev_cell": 5.9, "cell": [[3.814, 0.000, 0.000], [0.000, 3.814, 0.000], [0.000, 0.000, 4.969]], "species": ["Nb", "P", "Rh", "O", "O"], "frac_coords": [[0.000, 0.000, 0.000], [0.500, 0.500, 0.000], [0.500, 0.500, 0.500], [0.000, 0.500, 0.500], [0.500, 0.000, 0.500]]}

=====

2) {"formula": "NbPRhO2", "functional": "GGA-PBE", "state": "relaxed", "n_ef_per_ev_cell": 3.4, "cell": [[3.829, 0.000, 0.000], [0.000, 3.829, 0.000], [0.000, 0.000, 5.448]], "species": ["Nb", "P", "Rh", "O", "O"], "frac_coords": [[0.000, 0.000, 0.000], [0.000, 0.000, 0.500], [0.500, 0.500, 0.500], [0.000, 0.500, 0.000], [0.500, 0.000, 0.000]]}

=====

Taking the most stable structure as the zero point, the relative energies in meV per atom are 1) 845; 2) 0.